No. 1
First-principles (PBE) data for an optimized crystal structure of MoOsAu2, as listed in Alexandria via LeMat-Bulk.

Computed properties:
SG = I-42d, No. 122
electronic total energy = -5.251 eV per atom
formation energy from the elements = 1.903 eV/atom
energy above the most stable polymorph in this dataset = 1.7331 eV/atom

abc: 6.1680 6.1680 6.6436
angles: 62.34 62.34 90.00
Each line ends with the local moment (μB).
Fractional positions:
Au: 0.8750 0.8762 0.7500  0.04
Au: 0.6262 0.1250 0.2500  0.03
Mo: 0.2500 0.7500 0.5000  -0.25
Os: 0.7500 0.2500 0.5000  0.66
Os: 0.0000 0.0000 0.0000  0.66
Au: 0.1238 0.6250 0.2500  0.03
Mo: 0.5000 0.5000 0.0000  -0.25
Au: 0.3750 0.3738 0.7500  0.03

No. 2
First-principles (PBE) data for an optimized crystal structure of BePSe, as listed in Alexandria via LeMat-Bulk.

Computed properties:
SG = I4mm, No. 107
raw formation energy = 0.23 eV/atom
electronic total energy = -3.977 eV per atom
energy above the most stable polymorph in this dataset = 0.1197 eV/atom

abc: 5.4215 5.4215 5.4215
angles: 145.06 145.06 50.24
Fractional positions:
Se: 0.6629 0.6629 0.0000
Be: 0.9017 0.9017 0.0000
P: 0.4355 0.4355 0.0000

Number 1: size of the total moment 0.12 μB per atom. Number 2: size of the total moment 0.00 μB per atom.